[1]
Below is a relaxed MoAsAu2 crystal, with properties calculated at the PBE-GGA level.

Unit cell a=3.114 b=4.435 c=5.040 alpha=90.00 beta=90.00 gamma=90.00
Space group Pmmm (No. 47)
Unique sites:
Mo: 0.000 0.000 0.000 [1 per cell]
As: 0.500 0.500 0.000 [1 per cell]
Au: 0.000 0.500 0.500 [1 per cell]
Au: 0.500 0.000 0.500 [1 per cell]

Properties
- ΔE_f (kJ/mol of formula units) = 123.6
- theoretical density (g/cm³) = 13.5

---

[2]
Below is a relaxed PmTmF6 crystal, with properties calculated at the PBE-GGA level.

Unit cell a=7.105 b=6.236 c=5.826 alpha=90.00 beta=109.56 gamma=90.00
Space group C2/m (No. 12)
Unique sites:
Pm: 0.000 0.000 0.000 [2 per cell]
Tm: 0.000 0.500 0.500 [2 per cell]
F: 0.094 0.285 0.809 [8 per cell]
F: 0.186 0.000 0.420 [4 per cell]

Properties
- energy above the lowest structure with this stoichiometry (eV/atom) = 0.107
- formation energy without anion corrections (meV/atom) = -4000
- theoretical density (g/cm³) = 5.8

---

[3]
Below is a relaxed KCuTc crystal, with properties calculated at the PBE-GGA level.

Unit cell a=2.601 b=4.115 c=12.280 alpha=90.00 beta=90.00 gamma=90.00
Space group Imm2 (No. 44)
Unique sites:
K: 0.000 0.000 0.000 [2 per cell]
Cu: 0.000 0.000 0.713 [2 per cell]
Tc: 0.000 0.000 0.276 [2 per cell]

Properties
- ΔE_f (kJ/mol of formula units) = 243.8
- energy above the lowest structure with this stoichiometry (eV/atom) = 0.000
- theoretical density (g/cm³) = 5.1

---

[4]
Below is a relaxed ZnCd crystal, with properties calculated at the PBE-GGA level.

Unit cell a=3.253 b=10.680 c=4.418 alpha=90.00 beta=90.00 gamma=90.00
Space group Cmcm (No. 63)
Unique sites:
Zn: 0.000 0.067 0.250 [4 per cell]
Cd: 0.000 0.332 0.250 [4 per cell]

Properties
- ΔE_f (kJ/mol of formula units) = 15.6
- theoretical density (g/cm³) = 7.7

---

[5]
Below is a relaxed SbH2 crystal, with properties calculated at the PBE-GGA level.

Unit cell a=4.623 b=4.414 c=5.870 alpha=90.00 beta=91.07 gamma=90.00
Space group Pm (No. 6)
Unique sites:
Sb: 0.000 0.000 0.000 [1 per cell]
Sb: 0.424 0.500 0.002 [1 per cell]
H: 0.001 0.500 0.497 [1 per cell]
H: 0.438 0.500 0.707 [1 per cell]
H: 0.886 0.500 0.404 [1 per cell]
H: 0.980 0.000 0.705 [1 per cell]

Properties
- energy above the lowest structure with this stoichiometry (eV/atom) = 0.108
- theoretical density (g/cm³) = 3.4

---

[6]
Below is a relaxed Nd2Ga2Fe15 crystal, with properties calculated at the PBE-GGA level.

Unit cell a=8.5393 b=8.5393 c=12.5477 alpha=90.00 beta=90.00 gamma=120.00
Space group R-3m (No. 166, hexagonal axes)
Unique sites:
Nd: 0.0000 0.0000 0.1530 [6 per cell]
Ga: 0.0000 0.0000 0.3976 [6 per cell]
Fe: 0.0000 0.2951 0.5000 [18 per cell]
Fe: 0.0000 0.5000 0.0000 [9 per cell]
Fe: 0.0015 0.5007 0.3410 [18 per cell]

Properties
- ΔE_f (kJ/mol of formula units) = -5.9
- theoretical density (g/cm³) = 8.0

---

Question: Which of these has the highest theoretical density?
Answer: MoAsAu2